Computed, not measured: crystalline Pm4HoTm3Se8 at its relaxed geometry at the PBE level of DFT.

The structure belongs to space group R-3m (No. 166, hexagonal axes); the cell edges are 8.1201, 8.1201 and 20.6832 Å and the angles 90.00°, 90.00° and 120.00°. Symmetry generates all atoms from Pm at (0.0000, 0.0000, 0.0000), Pm at (0.0000, 0.5000, 0.0000), Ho at (0.0000, 0.0000, 0.5000), Tm at (0.0000, 0.5000, 0.5000), Se at (0.0000, 0.0000, 0.2440) and Se at (0.0019, 0.5010, 0.7556).

The calculation puts the energy relative to the elements, uncorrected at -169.82 kJ/mol of atoms. As for the density: 7.94 g/cm³.

***

Computed, not measured: crystalline PmY2HoSe4 at its relaxed geometry at the PBE level of DFT.

The structure belongs to space group P2/m (No. 10); the cell edges are 7.104, 4.057 and 7.185 Å and the angles 90.00°, 108.86° and 90.00°. Symmetry generates all atoms from Pm at (0.000, 0.000, 0.000), Y at (0.500, 0.000, 0.500), Y at (0.500, 0.500, 0.000), Ho at (0.000, 0.500, 0.500), Se at (0.251, 0.000, 0.744) and Se at (0.256, 0.500, 0.258).

The calculation puts the energy relative to the elements, uncorrected at -170.54 kJ/mol of atoms. As for the density: 6.81 g/cm³.

***

Computed, not measured: crystalline PmY3Ho3Se8 at its relaxed geometry at the PBE level of DFT.

The structure belongs to space group R-3m (No. 166, hexagonal axes); the cell edges are 8.1269, 8.1269 and 19.9112 Å and the angles 90.00°, 90.00° and 120.00°. Symmetry generates all atoms from Pm at (0.0000, 0.0000, 0.0000), Y at (0.0000, 0.5000, 0.5000), Ho at (0.0000, 0.5000, 0.0000), Se at (0.0000, 0.0000, 0.2509) and Se at (0.0130, 0.5065, 0.2477).

The calculation puts the energy relative to the elements, uncorrected at -176.42 kJ/mol of atoms. As for the density: 6.73 g/cm³.

***

Computed, not measured: crystalline Pm2YHoSe6 at its relaxed geometry at the PBE level of DFT.

The structure belongs to space group R3 (No. 146, hexagonal axes); the cell edges are 7.3137, 7.3137 and 19.5485 Å and the angles 90.00°, 90.00° and 120.00°. Symmetry generates all atoms from Pm at (0.0000, 0.0000, 0.0000), Pm at (0.0000, 0.0000, 0.4999), Y at (0.0000, 0.0000, 0.1994), Ho at (0.0000, 0.0000, 0.6992), Se at (0.0387, 0.6828, 0.7698) and Se at (0.0396, 0.3579, 0.2703).

The calculation puts the energy relative to the elements, uncorrected at -178.58 kJ/mol of atoms. As for the density: 5.60 g/cm³.

***

Computed, not measured: crystalline Pm2YHoSe4 at its relaxed geometry at the PBE level of DFT.

The structure belongs to space group P2/m (No. 10); the cell edges are 7.108, 4.074 and 7.288 Å and the angles 90.00°, 108.75° and 90.00°. Symmetry generates all atoms from Pm at (0.000, 0.000, 0.000), Pm at (0.500, 0.500, 0.000), Y at (0.000, 0.500, 0.500), Ho at (0.500, 0.000, 0.500), Se at (0.247, 0.000, 0.738) and Se at (0.256, 0.500, 0.263).

The calculation puts the energy relative to the elements, uncorrected at -172.87 kJ/mol of atoms. As for the density: 7.14 g/cm³.

***

Computed, not measured: crystalline Pm2YHoSe5 at its relaxed geometry at the PBE level of DFT.

The structure belongs to space group P4/mmm (No. 123); the cell edges are 5.129, 5.129 and 10.722 Å and the angles 90.00°, 90.00° and 90.00°. Symmetry generates all atoms from Pm at (0.000, 0.000, 0.174), Y at (0.500, 0.500, 0.500), Ho at (0.500, 0.500, 0.000), Se at (0.000, 0.000, 0.500), Se at (0.000, 0.500, 0.000) and Se at (0.500, 0.500, 0.254).

The calculation puts the energy relative to the elements, uncorrected at -120.64 kJ/mol of atoms. As for the density: 5.52 g/cm³.

***

Computed, not measured: crystalline PmY3Ho4Se8 at its relaxed geometry at the PBE level of DFT.

The structure belongs to space group R-3m (No. 166, hexagonal axes); the cell edges are 8.1649, 8.1649 and 20.0605 Å and the angles 90.00°, 90.00° and 120.00°. Symmetry generates all atoms from Pm at (0.0000, 0.0000, 0.0000), Y at (0.0000, 0.5000, 0.0000), Ho at (0.0000, 0.0000, 0.5000), Ho at (0.0000, 0.5000, 0.5000), Se at (0.0000, 0.0000, 0.2489) and Se at (0.0045, 0.5022, 0.2477).

The calculation puts the energy relative to the elements, uncorrected at -168.52 kJ/mol of atoms. As for the density: 7.33 g/cm³.

***

Computed, not measured: crystalline Pm2YHo3Se6 at its relaxed geometry at the PBE level of DFT.

The structure belongs to space group C2/m (No. 12); the cell edges are 17.944, 4.084 and 8.276 Å and the angles 90.00°, 104.04° and 90.00°. Symmetry generates all atoms from Pm at (0.168, 0.000, 0.336), Y at (0.000, 0.500, 0.000), Ho at (0.000, 0.500, 0.500), Ho at (0.169, 0.000, 0.833), Se at (0.003, 0.000, 0.750), Se at (0.163, 0.500, 0.591) and Se at (0.166, 0.500, 0.074).

The calculation puts the energy relative to the elements, uncorrected at -170.66 kJ/mol of atoms. As for the density: 7.60 g/cm³.

***

Computed, not measured: crystalline Pm3Y2HoSe6 at its relaxed geometry at the PBE level of DFT.

The structure belongs to space group C2/m (No. 12); the cell edges are 18.082, 4.107 and 8.343 Å and the angles 90.00°, 104.25° and 90.00°. Symmetry generates all atoms from Pm at (0.000, 0.000, 0.000), Pm at (0.167, 0.500, 0.333), Y at (0.167, 0.500, 0.834), Ho at (0.000, 0.000, 0.500), Se at (0.002, 0.500, 0.742), Se at (0.163, 0.000, 0.589) and Se at (0.169, 0.000, 0.077).

The calculation puts the energy relative to the elements, uncorrected at -173.34 kJ/mol of atoms. As for the density: 6.92 g/cm³.

***

Computed, not measured: crystalline Pm2HoSi2 at its relaxed geometry at the PBE level of DFT.

The structure belongs to space group P2_1/m (No. 11); the cell edges are 5.858, 3.984 and 11.416 Å and the angles 90.00°, 93.10° and 90.00°. Symmetry generates all atoms from Pm at (0.101, 0.250, 0.370), Pm at (0.250, 0.250, 0.062), Ho at (0.394, 0.250, 0.715), Si at (0.244, 0.750, 0.872) and Si at (0.380, 0.750, 0.522).

The calculation puts the energy relative to the elements, uncorrected at -49.01 kJ/mol of atoms. As for the density: 6.38 g/cm³.

***

Computed, not measured: crystalline Pm3HoSi3 at its relaxed geometry at the PBE level of DFT.

The structure belongs to space group R3m (No. 160, hexagonal axes); the cell edges are 9.9383, 9.9383 and 6.2316 Å and the angles 90.00°, 90.00° and 120.00°. Symmetry generates all atoms from Pm at (0.1864, 0.3728, 0.0000), Ho at (0.0000, 0.0000, 0.7436) and Si at (0.0002, 0.5001, 0.1896).

The calculation puts the energy relative to the elements, uncorrected at -47.46 kJ/mol of atoms. As for the density: 6.39 g/cm³.

***

Computed, not measured: crystalline PmHoSi at its relaxed geometry at the PBE level of DFT.

The structure belongs to space group F-43m (No. 216); the cell edges are 6.936, 6.936 and 6.936 Å and the angles 90.00°, 90.00° and 90.00°. Symmetry generates all atoms from Pm at (0.000, 0.000, 0.000), Ho at (0.000, 0.000, 0.500) and Si at (0.250, 0.250, 0.250).

The calculation puts the energy relative to the elements, uncorrected at -43.73 kJ/mol of atoms. As for the density: 6.73 g/cm³.